#1
Entry from the Alexandria database: a geometry-optimized LuHf2Ta structure (GGA-PBE).

Cell: 3.1447 3.1447 32.7434 Å, 90.00 90.00 120.00°
Space group R-3m (No. 166, hexagonal axes)
Asymmetric unit:
Lu1 0.0000 0.0000 0.0000 (multiplicity 3)
Hf1 0.0000 0.0000 0.0947 (multiplicity 6)
Ta1 0.0000 0.0000 0.5000 (multiplicity 3)



#2
Entry from the Alexandria database: a geometry-optimized LuHf2Ta structure (GGA-PBE).

Cell: 3.614 3.614 7.009 Å, 90.00 90.00 90.00°
Space group P4/mmm (No. 123)
Asymmetric unit:
Lu1 0.000 0.000 0.000 (multiplicity 1)
Hf1 0.500 0.500 0.294 (multiplicity 2)
Ta1 0.000 0.000 0.500 (multiplicity 1)



Which one is most stable, and which one is least stable? #2 is the most stable of them, while #1 is the least stable.